Zr2CuPdF11 | PBE | optimized geometry

Output
The total DFT energy (no corrections) comes out at -176.01 eV for the cell shown.

Cell lengths 8.9632, 6.6688, 7.8425 Å; angles 90.00, 116.60, 90.00 degrees
Closest atoms and distances in Å follow each position.
Space group C2/m (No. 12)
One atom of each set of equivalent atoms:
1 Zr 0.0053 0.0000 0.2718 (multiplicity 4)  7 F 1.99-2.16
2 Cu 0.0000 0.5000 0.5000 (multiplicity 2)  4 F 1.97-2.17
3 Pd 0.0000 0.5000 0.0000 (multiplicity 2)  6 F 2.10-2.17
4 F 0.0000 0.0000 0.0000 (multiplicity 2)  2 Zr 2.11
5 F 0.0000 0.1751 0.5000 (multiplicity 4)  2 Zr 2.16, 1 Cu 2.17, 3 F 2.34-2.39
6 F 0.0224 0.2957 0.7979 (multiplicity 8)  1 Zr 2.03, 1 Pd 2.17
7 F 0.2417 0.0000 0.8244 (multiplicity 4)  1 Zr 1.99, 1 Pd 2.10
8 F 0.2434 0.5000 0.5920 (multiplicity 4)  1 Cu 1.97, 1 Zr 2.01

SmInPO | PBE | optimized geometry

Output
The total DFT energy (no corrections) comes out at -46.20 eV for the cell shown.

Cell lengths 5.0402, 5.1298, 6.4005 Å; angles 90.00, 90.00, 90.00 degrees
Closest atoms and distances in Å follow each position.
Space group Pmc2_1 (No. 26)
One atom of each set of equivalent atoms:
1 Sm 0.0000 0.2185 0.0000 (multiplicity 2)  2 O 2.23-2.27
2 In 0.5000 0.2409 0.3605 (multiplicity 2)  2 O 2.54, 3 P 2.58-2.66
3 P 0.5000 0.2636 0.7635 (multiplicity 2)  3 In 2.58-2.66
4 O 0.0000 0.1767 0.3535 (multiplicity 2)  2 Sm 2.23-2.27

NpP2Pd4 | PBE | optimized geometry

Output
The total DFT energy (no corrections) comes out at -95.35 eV for the cell shown.

Cell lengths 7.6240, 7.6240, 3.8683 Å; angles 90.00, 90.00, 90.00 degrees
Closest atoms and distances in Å follow each position.
Space group P4_2/mnm (No. 136)
One atom of each set of equivalent atoms:
1 Np 0.0000 0.0000 0.0000 (multiplicity 2)  6 P 3.01-3.08, 8 Pd 3.25
2 P 0.2141 0.2141 0.5000 (multiplicity 4)  6 Pd 2.46-2.49
3 Pd 0.0864 0.6682 0.5000 (multiplicity 8)  3 P 2.46-2.49, 1 Pd 2.65

KZrPa | PBE | optimized geometry

Output
The total DFT energy (no corrections) comes out at -52.49 eV for the cell shown.

Cell lengths 7.5655, 7.5655, 7.5655 Å; angles 90.00, 90.00, 90.00 degrees
Closest atoms and distances in Å follow each position.
Space group F-43m (No. 216)
One atom of each set of equivalent atoms:
1 K 0.0000 0.0000 0.0000 (multiplicity 4)  4 Pa 3.28
2 Zr 0.0000 0.0000 0.5000 (multiplicity 4)  4 Pa 3.28
3 Pa 0.2500 0.2500 0.2500 (multiplicity 4)  4 Zr 3.28, 4 K 3.28

ThBeAg | PBE | optimized geometry

Output
The total DFT energy (no corrections) comes out at -50.78 eV for the cell shown.

Cell lengths 6.5948, 6.5948, 6.5948 Å; angles 90.00, 90.00, 90.00 degrees
Closest atoms and distances in Å follow each position.
Space group F-43m (No. 216)
One atom of each set of equivalent atoms:
1 Th 0.0000 0.0000 0.0000 (multiplicity 4)  4 Ag 2.86
2 Be 0.0000 0.0000 0.5000 (multiplicity 4)  4 Ag 2.86
3 Ag 0.2500 0.2500 0.7500 (multiplicity 4)  4 Th 2.86, 4 Be 2.86

ErNbNi | PBE | optimized geometry

Output
The formation energy from the elements comes out at 1176 meV per atom.

Cell lengths 6.3195, 6.3195, 6.3195 Å; angles 90.00, 90.00, 90.00 degrees
Closest atoms and distances in Å follow each position.
Space group F-43m (No. 216)
One atom of each set of equivalent atoms:
1 Er 0.0000 0.0000 0.0000 (multiplicity 4)  4 Nb 2.74, 4 Ni 2.74
2 Nb 0.2500 0.2500 0.7500 (multiplicity 4)  4 Er 2.74
3 Ni 0.2500 0.2500 0.2500 (multiplicity 4)  4 Er 2.74

Repeat the third record exactly.
NpP2Pd4 | PBE | optimized geometry

Output
The total DFT energy (no corrections) comes out at -95.35 eV for the cell shown.

Cell lengths 7.6240, 7.6240, 3.8683 Å; angles 90.00, 90.00, 90.00 degrees
Closest atoms and distances in Å follow each position.
Space group P4_2/mnm (No. 136)
One atom of each set of equivalent atoms:
1 Np 0.0000 0.0000 0.0000 (multiplicity 2)  6 P 3.01-3.08, 8 Pd 3.25
2 P 0.2141 0.2141 0.5000 (multiplicity 4)  6 Pd 2.46-2.49
3 Pd 0.0864 0.6682 0.5000 (multiplicity 8)  3 P 2.46-2.49, 1 Pd 2.65